No. 1
Here is crystalline Tb3PrAg2 at its relaxed geometry from Alexandria. Energies are from PBE-GGA.

Cell and atoms, written as extended XYZ:
```
12
Lattice="5.361 0.000 0.000 -2.681 8.871 -0.770 0.000 -4.662 7.481" Properties=species:S:1:pos:R:3 pbc="T T T"
Tb 0.000 2.608 4.117
Tb 2.681 4.974 3.830
Tb 2.681 -1.198 5.136
Tb 0.000 5.407 1.575
Tb 0.000 -0.765 2.881
Tb 2.681 1.602 2.594
Pr 2.681 2.168 6.326
Pr 0.000 2.041 0.385
Ag 2.681 -3.789 6.407
Ag 0.000 7.999 0.304
Ag 2.681 4.117 0.732
Ag 0.000 0.092 5.978
```

Results
As for the calculated formation energy: -71 kJ/mol of formula units. The total energy is -4.186 eV/atom. The relative energy among the computed polymorphs is 70.6 meV/atom. Its volume is 28.04 A^3/atom.



No. 2
Here is crystalline AcNpNi4 at its relaxed geometry from Alexandria. Energies are from PBE-GGA.

Cell and atoms, written as extended XYZ:
```
6
Lattice="5.188 0.000 0.000 2.594 4.493 0.000 2.594 1.498 4.236" Properties=species:S:1:pos:R:3 pbc="T T T"
Np 0.000 0.000 0.000
Ni 5.188 2.996 0.503
Ni 5.188 1.473 2.657
Ni 6.507 3.757 2.657
Ni 3.870 3.757 2.657
Ac 2.594 1.498 1.059
```

Results
As for the calculated formation energy: -25 kJ/mol of formula units. The total energy is -6.739 eV/atom. Its volume is 16.46 A^3/atom.



No. 3
Here is crystalline Y2HRu at its relaxed geometry from Alexandria. Energies are from PBE-GGA.

Cell and atoms, written as extended XYZ:
```
16
Lattice="-3.770 3.491 2.222 -2.338 0.659 -5.002 -5.685 -7.821 2.643" Properties=species:S:1:pos:R:3 pbc="T T T"
Y -10.080 -3.791 -0.731
Y -1.713 0.120 0.595
Y -7.522 -1.796 0.475
Y -4.271 -1.874 -0.611
Y -4.988 2.058 -0.249
Y -6.805 -5.728 0.112
Y -5.143 0.028 2.676
Y -6.650 -3.699 -2.813
H -5.448 -3.983 -0.890
H -6.345 0.312 0.753
H -7.707 -5.723 -1.988
H -4.086 2.052 1.851
Ru -5.520 -1.182 -3.000
Ru -6.273 -2.489 2.863
Ru -3.240 0.491 -1.761
Ru -8.553 -4.162 1.624
```

Results
The total energy is -6.672 eV/atom. The relative energy among the computed polymorphs is 0.0 meV/atom. Its volume is 19.42 A^3/atom.



No. 4
Here is crystalline K2AlF at its relaxed geometry from Alexandria. Energies are from PBE-GGA.

Cell and atoms, written as extended XYZ:
```
8
Lattice="7.753 0.000 0.000 0.000 7.753 0.000 3.877 3.877 4.659" Properties=species:S:1:pos:R:3 pbc="T T T"
K 4.916 1.938 1.165
K 2.837 5.815 1.165
K 5.815 6.714 3.495
K 9.691 8.793 3.495
Al 0.000 0.000 0.000
Al 7.753 3.877 2.330
F 3.877 3.877 0.000
F 3.877 7.753 2.330
```

Results
The total energy is -2.850 eV/atom. The relative energy among the computed polymorphs is 0.0 meV/atom. Its volume is 35.01 A^3/atom. The uncorrected formation energy is -0.8980 eV per atom.



Which density of states at the Fermi level belongs to each record? In order, 1.100; 2.430; 0.556; 0.018 states/eV/atom.